Entry 1:
The following is a DFT calculation (PBE-GGA) of a relaxed structure of NaPr2InS5.

- M_tot (μB per formula unit) = 0.00
- calculated total energy (Ha/atom) = -0.194
- E_form (uncorrected) (eV/atom) = -1.4789

```
NaPr2InS5
1.0
4.042 0.000 0.000
-2.021 8.561 0.000
0.000 0.000 11.965
Na Pr In S
2 4 2 10
direct
0.789 0.577 0.510 Na
0.211 0.423 0.010 Na
0.860 0.720 0.804 Pr
0.119 0.238 0.683 Pr
0.140 0.280 0.304 Pr
0.881 0.762 0.183 Pr
0.551 0.103 0.958 In
0.449 0.897 0.458 In
0.369 0.738 0.001 S
0.680 0.359 0.845 S
0.493 0.986 0.771 S
0.289 0.578 0.675 S
0.954 0.908 0.577 S
0.631 0.262 0.501 S
0.320 0.641 0.345 S
0.507 0.014 0.271 S
0.711 0.422 0.175 S
0.046 0.092 0.077 S
```

Entry 2:
The following is a DFT calculation (PBE-GGA) of a relaxed structure of NaPrScIn.

- formation energy (eV/atom) = -0.105
- M_tot (μB per formula unit) = 0.00
- calculated total energy (Ha/atom) = -0.143

```
NaPrScIn
1.0
-2.087 -0.089 4.937
3.231 -0.205 4.272
0.493 4.275 3.196
Pr Sc Na In
1 1 1 1
direct
0.750 0.750 0.750 Pr
0.250 0.250 0.250 Sc
0.000 0.000 0.000 Na
0.500 0.500 0.500 In
```

Entry 3:
The following is a DFT calculation (PBE-GGA) of a relaxed structure of NaPrInSn.

- formation energy (eV/atom) = -0.342
- M_tot (μB per formula unit) = 0.00
- excess energy over the best structure of this formula in the dataset (meV/atom) = 80
- calculated total energy (Ha/atom) = -0.131

```
NaPrInSn
1.0
5.424 0.000 0.000
2.712 4.697 0.000
2.712 1.566 4.428
Pr Na Sn In
1 1 1 1
direct
0.000 0.000 0.000 Pr
0.500 0.500 0.500 Na
0.250 0.250 0.250 Sn
0.750 0.750 0.750 In
```

Entry 4:
The following is a DFT calculation (PBE-GGA) of a relaxed structure of NaPrInSn.

- formation energy (eV/atom) = -0.423
- M_tot (μB per formula unit) = 0.00
- excess energy over the best structure of this formula in the dataset (meV/atom) = 0
- calculated total energy (Ha/atom) = -0.133

```
NaPrInSn
1.0
-2.594 2.825 2.590
-2.933 -3.613 1.003
2.750 -1.126 3.983
Na Pr In Sn
1 1 1 1
direct
0.500 0.000 0.500 Na
0.500 0.500 0.000 Pr
0.000 0.500 0.500 In
0.000 0.000 0.000 Sn
```